# Al2FeAg2 | Alexandria | PBE | relaxed
# energy relative to the elements: 205 meV/atom
# total magnetization: 4.36 μB per cell
data_Al2FeAg2
_chemical_formula_sum 'Al4 Fe2 Ag4'
_space_group_name_H-M_alt 'P 4/m b m'
_space_group_IT_number 127
_space_group_name_Hall '-P 4 2ab'
_cell_length_a 7.323
_cell_length_b 7.323
_cell_length_c 3.013
_cell_angle_alpha 90.00
_cell_angle_beta 90.00
_cell_angle_gamma 90.00
loop_
_atom_site_label
_atom_site_fract_x
_atom_site_fract_y
_atom_site_fract_z
Al1 0.154 0.346 0.000
Fe1 0.000 0.000 0.000
Ag1 0.147 0.647 0.500